(1)
# SCAN Sr2Tc, PBEsol geometry
# - SG: I4/mmm (139)
data_Sr2Tc
_chemical_formula_sum 'Sr2 Tc1'
_space_group_name_H-M_alt 'P 1'
_space_group_IT_number 1
_cell_length_a 3.5662
_cell_length_b 3.5662
_cell_length_c 7.7982
_cell_angle_alpha 103.22
_cell_angle_beta 103.22
_cell_angle_gamma 90.00
loop_
_space_group_symop_operation_xyz
'x,y,z'
loop_
_atom_site_label
_atom_site_fract_x
_atom_site_fract_y
_atom_site_fract_z
_atom_site_occupancy
Sr1 0.6273 0.6273 0.2546 1
Sr2 0.3727 0.3727 0.7454 1
Tc1 0.0000 0.0000 0.0000 1

(2)
# SCAN Sr2Tc, PBEsol geometry
# - SG: Fm-3m (225)
data_Sr2Tc
_chemical_formula_sum 'Sr2 Tc1'
_space_group_name_H-M_alt 'P 1'
_space_group_IT_number 1
_cell_length_a 5.2029
_cell_length_b 5.2029
_cell_length_c 5.2029
_cell_angle_alpha 60.00
_cell_angle_beta 60.00
_cell_angle_gamma 60.00
loop_
_space_group_symop_operation_xyz
'x,y,z'
loop_
_atom_site_label
_atom_site_fract_x
_atom_site_fract_y
_atom_site_fract_z
_atom_site_occupancy
Sr1 0.7500 0.7500 0.7500 1
Sr2 0.2500 0.2500 0.2500 1
Tc1 0.0000 0.0000 0.0000 1

Stability, highest: (1)

(1)
# SCAN SrTcTe2, PBEsol geometry
# - SG: Imm2 (44)
data_SrTcTe2
_chemical_formula_sum 'Sr1 Tc1 Te2'
_space_group_name_H-M_alt 'P 1'
_space_group_IT_number 1
_cell_length_a 3.5926
_cell_length_b 3.9196
_cell_length_c 7.6999
_cell_angle_alpha 104.75
_cell_angle_beta 103.49
_cell_angle_gamma 90.00
loop_
_space_group_symop_operation_xyz
'x,y,z'
loop_
_atom_site_label
_atom_site_fract_x
_atom_site_fract_y
_atom_site_fract_z
_atom_site_occupancy
Sr1 0.5514 0.5514 0.1027 1
Tc1 0.2936 0.7936 0.5872 1
Te1 0.9295 0.9295 0.8589 1
Te2 0.7256 0.2256 0.4512 1

(2)
# SCAN SrTcTe2, PBEsol geometry
# - SG: P4mm (99)
data_SrTcTe2
_chemical_formula_sum 'Sr1 Tc1 Te2'
_space_group_name_H-M_alt 'P 1'
_space_group_IT_number 1
_cell_length_a 3.9223
_cell_length_b 3.9223
_cell_length_c 6.9564
_cell_angle_alpha 90.00
_cell_angle_beta 90.00
_cell_angle_gamma 90.00
loop_
_space_group_symop_operation_xyz
'x,y,z'
loop_
_atom_site_label
_atom_site_fract_x
_atom_site_fract_y
_atom_site_fract_z
_atom_site_occupancy
Sr1 0.0000 0.0000 0.4655 1
Tc1 0.5000 0.5000 0.8583 1
Te1 0.0000 0.0000 0.9258 1
Te2 0.5000 0.5000 0.2504 1

(3)
# SCAN SrTcTe2, PBEsol geometry
# - SG: I-42d (122)
data_SrTcTe2
_chemical_formula_sum 'Sr2 Tc2 Te4'
_space_group_name_H-M_alt 'P 1'
_space_group_IT_number 1
_cell_length_a 6.3815
_cell_length_b 6.3815
_cell_length_c 8.2014
_cell_angle_alpha 112.90
_cell_angle_beta 112.90
_cell_angle_gamma 90.00
loop_
_space_group_symop_operation_xyz
'x,y,z'
loop_
_atom_site_label
_atom_site_fract_x
_atom_site_fract_y
_atom_site_fract_z
_atom_site_occupancy
Sr1 0.7500 0.2500 0.5000 1
Sr2 0.5000 0.5000 0.0000 1
Te1 0.2862 0.8750 0.2500 1
Te2 0.9638 0.3750 0.2500 1
Te3 0.1250 0.0362 0.7500 1
Te4 0.6250 0.7138 0.7500 1
Tc1 0.2500 0.7500 0.5000 1
Tc2 0.0000 0.0000 0.0000 1

(4)
# SCAN SrTcTe2, PBEsol geometry
# - SG: R-3m (166)
data_SrTcTe2
_chemical_formula_sum 'Sr1 Tc1 Te2'
_space_group_name_H-M_alt 'P 1'
_space_group_IT_number 1
_cell_length_a 4.2701
_cell_length_b 4.2701
_cell_length_c 6.9336
_cell_angle_alpha 72.07
_cell_angle_beta 72.07
_cell_angle_gamma 60.00
loop_
_space_group_symop_operation_xyz
'x,y,z'
loop_
_atom_site_label
_atom_site_fract_x
_atom_site_fract_y
_atom_site_fract_z
_atom_site_occupancy
Sr1 0.0000 0.0000 0.0000 1
Tc1 0.5000 0.5000 0.5000 1
Te1 0.7727 0.7727 0.6820 1
Te2 0.2273 0.2273 0.3180 1

Stability, highest: (4)

(1)
# SCAN SrTlTc2, PBEsol geometry
# - SG: P4/mmm (123)
data_SrTlTc2
_chemical_formula_sum 'Sr1 Tl1 Tc2'
_space_group_name_H-M_alt 'P 1'
_space_group_IT_number 1
_cell_length_a 4.5248
_cell_length_b 4.1490
_cell_length_c 4.1490
_cell_angle_alpha 90.00
_cell_angle_beta 90.00
_cell_angle_gamma 90.00
loop_
_space_group_symop_operation_xyz
'x,y,z'
loop_
_atom_site_label
_atom_site_fract_x
_atom_site_fract_y
_atom_site_fract_z
_atom_site_occupancy
Sr1 0.5000 0.0000 0.0000 1
Tc1 0.0000 0.0000 0.5000 1
Tc2 0.0000 0.5000 0.0000 1
Tl1 0.5000 0.5000 0.5000 1

(2)
# SCAN SrTlTc2, PBEsol geometry
# - SG: R-3m (166)
data_SrTlTc2
_chemical_formula_sum 'Sr1 Tl1 Tc2'
_space_group_name_H-M_alt 'P 1'
_space_group_IT_number 1
_cell_length_a 3.0488
_cell_length_b 3.0488
_cell_length_c 9.8228
_cell_angle_alpha 81.07
_cell_angle_beta 81.07
_cell_angle_gamma 60.00
loop_
_space_group_symop_operation_xyz
'x,y,z'
loop_
_atom_site_label
_atom_site_fract_x
_atom_site_fract_y
_atom_site_fract_z
_atom_site_occupancy
Sr1 0.0000 0.0000 0.0000 1
Tc1 0.2429 0.2429 0.2713 1
Tc2 0.7571 0.7571 0.7287 1
Tl1 0.5000 0.5000 0.5000 1

Stability, highest: (1)

(1)
# SCAN SrY2Tc, PBEsol geometry
# - SG: Immm (71)
data_SrY2Tc
_chemical_formula_sum 'Sr1 Y2 Tc1'
_space_group_name_H-M_alt 'P 1'
_space_group_IT_number 1
_cell_length_a 3.5725
_cell_length_b 5.9152
_cell_length_c 6.3907
_cell_angle_alpha 117.57
_cell_angle_beta 106.23
_cell_angle_gamma 90.00
loop_
_space_group_symop_operation_xyz
'x,y,z'
loop_
_atom_site_label
_atom_site_fract_x
_atom_site_fract_y
_atom_site_fract_z
_atom_site_occupancy
Sr1 0.0000 0.5000 0.0000 1
Tc1 0.5000 0.0000 0.0000 1
Y1 0.8101 0.8101 0.6202 1
Y2 0.1899 0.1899 0.3798 1

(2)
# SCAN SrY2Tc, PBEsol geometry
# - SG: P4/mmm (123)
data_SrY2Tc
_chemical_formula_sum 'Sr1 Y2 Tc1'
_space_group_name_H-M_alt 'P 1'
_space_group_IT_number 1
_cell_length_a 3.4726
_cell_length_b 3.4726
_cell_length_c 9.5649
_cell_angle_alpha 90.00
_cell_angle_beta 90.00
_cell_angle_gamma 90.00
loop_
_space_group_symop_operation_xyz
'x,y,z'
loop_
_atom_site_label
_atom_site_fract_x
_atom_site_fract_y
_atom_site_fract_z
_atom_site_occupancy
Sr1 0.5000 0.5000 0.0000 1
Tc1 0.5000 0.5000 0.5000 1
Y1 0.0000 0.0000 0.6663 1
Y2 0.0000 0.0000 0.3337 1

Stability, highest: (2)

(1)
# SCAN SrZr2Tc, PBEsol geometry
# - SG: Imm2 (44)
data_SrZr2Tc
_chemical_formula_sum 'Sr1 Zr2 Tc1'
_space_group_name_H-M_alt 'P 1'
_space_group_IT_number 1
_cell_length_a 3.4206
_cell_length_b 4.8307
_cell_length_c 6.3700
_cell_angle_alpha 112.28
_cell_angle_beta 105.57
_cell_angle_gamma 90.00
loop_
_space_group_symop_operation_xyz
'x,y,z'
loop_
_atom_site_label
_atom_site_fract_x
_atom_site_fract_y
_atom_site_fract_z
_atom_site_occupancy
Sr1 0.5399 0.5399 0.0798 1
Tc1 0.2704 0.7704 0.5409 1
Zr1 0.9363 0.9363 0.8727 1
Zr2 0.7533 0.2533 0.5066 1

(2)
# SCAN SrZr2Tc, PBEsol geometry
# - SG: R-3m (166)
data_SrZr2Tc
_chemical_formula_sum 'Sr1 Zr2 Tc1'
_space_group_name_H-M_alt 'P 1'
_space_group_IT_number 1
_cell_length_a 3.3245
_cell_length_b 3.3245
_cell_length_c 10.1723
_cell_angle_alpha 80.60
_cell_angle_beta 80.60
_cell_angle_gamma 60.00
loop_
_space_group_symop_operation_xyz
'x,y,z'
loop_
_atom_site_label
_atom_site_fract_x
_atom_site_fract_y
_atom_site_fract_z
_atom_site_occupancy
Sr1 0.5000 0.5000 0.5000 1
Tc1 0.0000 0.0000 0.0000 1
Zr1 0.2707 0.2707 0.1880 1
Zr2 0.7293 0.7293 0.8120 1

Stability, highest: (1)

(1)
# SCAN SrZrTc2, PBEsol geometry
# - SG: P4mm (99)
data_SrZrTc2
_chemical_formula_sum 'Sr1 Zr1 Tc2'
_space_group_name_H-M_alt 'P 1'
_space_group_IT_number 1
_cell_length_a 3.0906
_cell_length_b 3.0906
_cell_length_c 8.8236
_cell_angle_alpha 90.00
_cell_angle_beta 90.00
_cell_angle_gamma 90.00
loop_
_space_group_symop_operation_xyz
'x,y,z'
loop_
_atom_site_label
_atom_site_fract_x
_atom_site_fract_y
_atom_site_fract_z
_atom_site_occupancy
Sr1 0.5000 0.5000 0.7937 1
Tc1 0.0000 0.0000 0.0667 1
Tc2 0.5000 0.5000 0.2135 1
Zr1 0.0000 0.0000 0.4261 1

(2)
# SCAN SrZrTc2, PBEsol geometry
# - SG: Fm-3m (225)
data_SrZrTc2
_chemical_formula_sum 'Sr1 Zr1 Tc2'
_space_group_name_H-M_alt 'P 1'
_space_group_IT_number 1
_cell_length_a 4.7473
_cell_length_b 4.7473
_cell_length_c 4.7473
_cell_angle_alpha 60.00
_cell_angle_beta 60.00
_cell_angle_gamma 60.00
loop_
_space_group_symop_operation_xyz
'x,y,z'
loop_
_atom_site_label
_atom_site_fract_x
_atom_site_fract_y
_atom_site_fract_z
_atom_site_occupancy
Sr1 0.5000 0.5000 0.5000 1
Tc1 0.2500 0.2500 0.2500 1
Tc2 0.7500 0.7500 0.7500 1
Zr1 0.0000 0.0000 0.0000 1

Stability, highest: (1)